Material: HWI2O
Method: DFT, PBE+U
State: optimized geometry

```
data_HWI2O
_chemical_formula_sum 'H1 W1 I2 O1'
_cell_length_a 5.886
_cell_length_b 5.886
_cell_length_c 3.870
_cell_angle_alpha 90.00
_cell_angle_beta 90.00
_cell_angle_gamma 90.00
_symmetry_space_group_name_H-M 'P 4/m m m'
_symmetry_Int_Tables_number 123
_symmetry_space_group_name_Hall '-P 4 2'
loop_
_atom_site_label
_atom_site_type_symbol
_atom_site_fract_x
_atom_site_fract_y
_atom_site_fract_z
_atom_site_occupancy
H1 H 0.000 0.000 0.000 1
W1 W 0.500 0.500 0.500 1
I1 I 0.000 0.500 0.500 1
O1 O 0.500 0.500 0.000 1
```

Summary:
- final energy (eV/atom) = -3.72
- crystal system = tetragonal
- polymorph energy (0 for the lowest one) (eV per atom) = 0.000
- Fermi-level density of states (states/eV per cell) = 0.51